<P>
This record from Alexandria via LeMat-Bulk describes Y3C after structural relaxation. The functional is PBE.

Structure (POSCAR):
```
Y3C
1.0
4.1707 0.0000 0.0000
0.0000 4.2740 0.0000
0.0000 0.0000 5.9854
Y C
3 1
direct
0.0000 0.0000 0.0000 Y
0.0000 0.5000 0.4610 Y
0.5000 0.0000 0.4375 Y
0.5000 0.5000 0.2399 C
```

=====

<Q>
This record from Alexandria via LeMat-Bulk describes Y3C after structural relaxation. The functional is PBE.

Structure (POSCAR):
```
Y3C
1.0
1.8601 -2.9491 0.0000
1.8601 2.9491 0.0000
0.0000 0.0000 9.2805
Y C
3 1
direct
0.0000 0.0000 0.0000 Y
0.5000 0.5000 0.3323 Y
0.5000 0.5000 0.6677 Y
0.0000 0.0000 0.5000 C
```

=====

<Q> ends up most stable, edging out the next structure by 382 meV/atom.

=====

<P>
This record from Alexandria via LeMat-Bulk describes Y3C after structural relaxation. The functional is PBE.

Structure (POSCAR):
```
Y3C
1.0
-1.6871 2.7396 5.3981
1.6871 -2.7396 5.3981
1.6871 2.7396 -5.3981
Y C
3 1
direct
0.0000 0.0000 0.0000 Y
0.3378 0.8378 0.5000 Y
0.6622 0.1622 0.5000 Y
0.5000 0.5000 0.0000 C
```

=====

<Q>
This record from Alexandria via LeMat-Bulk describes Y3C after structural relaxation. The functional is PBE.

Structure (POSCAR):
```
Y3C
1.0
-2.1057 2.1057 5.1625
2.1057 -2.1057 5.1625
2.1057 2.1057 -5.1625
Y C
3 1
direct
0.0000 0.0000 0.0000 Y
0.2500 0.7500 0.5000 Y
0.7500 0.2500 0.5000 Y
0.5000 0.5000 0.0000 C
```

=====

<P> ends up most stable, edging out the next structure by 706 meV/atom.

=====

<P>
This record from Alexandria via LeMat-Bulk describes Y3C after structural relaxation. The functional is PBE.

Structure (POSCAR):
```
Y3C
1.0
3.3886 0.0000 0.0000
0.0000 6.6909 0.0000
0.0000 0.0000 9.1131
Y C
6 2
direct
0.2500 0.0167 0.1868 Y
0.2500 0.2500 0.5006 Y
0.2500 0.4833 0.1868 Y
0.7500 0.5167 0.8132 Y
0.7500 0.7500 0.4994 Y
0.7500 0.9833 0.8132 Y
0.2500 0.7500 0.7142 C
0.7500 0.2500 0.2858 C
```

=====

<Q>
This record from Alexandria via LeMat-Bulk describes Y3C after structural relaxation. The functional is PBE.

Structure (POSCAR):
```
Y3C
1.0
1.7972 1.0376 9.1475
-1.7972 1.0376 9.1475
0.0000 -2.0752 9.1475
Y C
3 1
direct
0.0000 0.0000 0.0000 Y
0.2161 0.2161 0.2161 Y
0.7839 0.7839 0.7839 Y
0.5000 0.5000 0.5000 C
```

=====

<Q> ends up most stable, edging out the next structure by 243 meV/atom.

=====

<P>
This record from Alexandria via LeMat-Bulk describes Y3C after structural relaxation. The functional is PBE.

Structure (POSCAR):
```
Y3C
1.0
8.5878 0.0000 0.0000
-4.2939 7.4372 0.0000
0.0000 0.0000 6.6096
Y C
12 4
direct
0.0000 0.5000 0.0000 Y
0.0000 0.5000 0.5000 Y
0.1191 0.2382 0.2500 Y
0.1191 0.8809 0.2500 Y
0.2382 0.1191 0.7500 Y
0.5000 0.0000 0.0000 Y
0.5000 0.0000 0.5000 Y
0.5000 0.5000 0.0000 Y
0.5000 0.5000 0.5000 Y
0.7618 0.8809 0.2500 Y
0.8809 0.1191 0.7500 Y
0.8809 0.7618 0.7500 Y
0.0000 0.0000 0.0000 C
0.0000 0.0000 0.5000 C
0.3333 0.6667 0.7500 C
0.6667 0.3333 0.2500 C
```

=====

<Q>
This record from Alexandria via LeMat-Bulk describes Y3C after structural relaxation. The functional is PBE.

Structure (POSCAR):
```
Y3C
1.0
4.9470 0.0000 0.0000
0.0000 4.9470 0.0000
0.0000 0.0000 4.9470
Y C
3 1
direct
0.0000 0.0000 0.5000 Y
0.0000 0.5000 0.0000 Y
0.5000 0.0000 0.0000 Y
0.0000 0.0000 0.0000 C
```

=====

<R>
This record from Alexandria via LeMat-Bulk describes Y3C after structural relaxation. The functional is PBE.

Structure (POSCAR):
```
Y3C
1.0
2.5309 -5.7875 0.0000
2.5309 5.7875 0.0000
0.0000 0.0000 3.5916
Y C
3 1
direct
0.0000 0.0000 0.0000 Y
0.3557 0.6443 0.5000 Y
0.6443 0.3557 0.5000 Y
0.5000 0.5000 0.0000 C
```

=====

<S>
This record from Alexandria via LeMat-Bulk describes Y3C after structural relaxation. The functional is PBE.

Structure (POSCAR):
```
Y3C
1.0
3.2551 0.0000 0.0000
0.0000 3.2551 0.0000
0.0000 0.0000 8.8374
Y C
3 1
direct
0.0000 0.0000 0.0000 Y
0.5000 0.5000 0.3445 Y
0.5000 0.5000 0.6555 Y
0.0000 0.0000 0.5000 C
```

=====

<R> ends up most stable, edging out the next structure by 354 meV/atom.

=====

<P>
This record from Alexandria via LeMat-Bulk describes Y3C after structural relaxation. The functional is PBE.

Structure (POSCAR):
```
Y3C
1.0
4.7799 2.7597 1.1670
-4.7799 2.7597 1.1670
0.0000 -5.5194 1.1670
Y C
3 1
direct
0.0000 0.5000 0.5000 Y
0.5000 0.0000 0.5000 Y
0.5000 0.5000 0.0000 Y
0.0000 0.0000 0.0000 C
```

=====

<Q>
This record from Alexandria via LeMat-Bulk describes Y3C after structural relaxation. The functional is PBE.

Structure (POSCAR):
```
Y3C
1.0
4.7296 -6.0799 0.0000
4.7296 6.0799 0.0000
0.0000 0.0000 3.4665
Y C
6 2
direct
0.1324 0.8676 0.7500 Y
0.1928 0.4678 0.7500 Y
0.4678 0.1928 0.2500 Y
0.5322 0.8072 0.7500 Y
0.8072 0.5322 0.2500 Y
0.8676 0.1324 0.2500 Y
0.2708 0.7292 0.2500 C
0.7292 0.2708 0.7500 C
```

=====

<Q> ends up most stable, edging out the next structure by 992 meV/atom.

=====

<P>
This record from Alexandria via LeMat-Bulk describes Y3C2 after structural relaxation. The functional is PBE.

Structure (POSCAR):
```
Y3C2
1.0
3.6379 0.0000 0.0000
-1.8189 3.1505 0.0000
0.0000 0.0000 9.2714
Y C
3 2
direct
0.0000 0.0000 0.0000 Y
0.3333 0.6667 0.2958 Y
0.6667 0.3333 0.7042 Y
0.3333 0.6667 0.8275 C
0.6667 0.3333 0.1725 C
```

=====

<Q>
This record from Alexandria via LeMat-Bulk describes Y3C2 after structural relaxation. The functional is PBE.

Structure (POSCAR):
```
Y3C2
1.0
1.8183 1.0498 9.3926
-1.8183 1.0498 9.3926
0.0000 -2.0995 9.3926
Y C
3 2
direct
0.0000 0.0000 0.0000 Y
0.2361 0.2361 0.2361 Y
0.7639 0.7639 0.7639 Y
0.3901 0.3901 0.3901 C
0.6099 0.6099 0.6099 C
```

=====

<P> ends up most stable, edging out the next structure by 6 meV/atom.

=====

<P>
This record from Alexandria via LeMat-Bulk describes Y3C2 after structural relaxation. The functional is PBE.

Structure (POSCAR):
```
Y3C2
1.0
0.0000 5.4935 3.5550
5.4152 0.0000 3.5550
5.4152 5.4935 0.0000
Y C
6 4
direct
0.0000 0.0000 0.0000 Y
0.1609 0.5577 0.7654 Y
0.2500 0.2500 0.2500 Y
0.4846 0.7340 0.0891 Y
0.5577 0.1609 0.5160 Y
0.7340 0.4846 0.6923 Y
0.1847 0.3799 0.5275 C
0.3421 0.7225 0.8701 C
0.3799 0.1847 0.9079 C
0.7225 0.3421 0.0653 C
```

=====

<Q>
This record from Alexandria via LeMat-Bulk describes Y3C2 after structural relaxation. The functional is PBE.

Structure (POSCAR):
```
Y3C2
1.0
3.1103 1.7957 5.8891
-3.1103 1.7957 5.8891
0.0000 -3.5915 5.8891
Y C
6 4
direct
0.0627 0.7500 0.4373 Y
0.2500 0.5627 0.9373 Y
0.4373 0.0627 0.7500 Y
0.5627 0.9373 0.2500 Y
0.7500 0.4373 0.0627 Y
0.9373 0.2500 0.5627 Y
0.1556 0.1556 0.1556 C
0.3444 0.3444 0.3444 C
0.6556 0.6556 0.6556 C
0.8444 0.8444 0.8444 C
```

=====

<Q> ends up most stable, edging out the next structure by 141 meV/atom.

=====

<P>
This record from Alexandria via LeMat-Bulk describes Y2ZnC after structural relaxation. The functional is PBE.

Structure (POSCAR):
```
Y2ZnC
1.0
0.0000 3.3514 3.3514
3.3514 0.0000 3.3514
3.3514 3.3514 0.0000
Y Zn C
2 1 1
direct
0.2500 0.2500 0.2500 Y
0.7500 0.7500 0.7500 Y
0.0000 0.0000 0.0000 Zn
0.5000 0.5000 0.5000 C
```

=====

<Q>
This record from Alexandria via LeMat-Bulk describes Y2ZnC after structural relaxation. The functional is PBE.

Structure (POSCAR):
```
Y2ZnC
1.0
-3.4801 3.4801 3.7192
3.4801 -3.4801 3.7192
3.4801 3.4801 -3.7192
Y Zn C
4 2 2
direct
0.0536 0.6250 0.9286 Y
0.3750 0.3036 0.4286 Y
0.6964 0.1250 0.0714 Y
0.8750 0.9464 0.5714 Y
0.2500 0.7500 0.5000 Zn
0.5000 0.5000 0.0000 Zn
0.0000 0.0000 0.0000 C
0.7500 0.2500 0.5000 C
```

=====

<R>
This record from Alexandria via LeMat-Bulk describes Y2ZnC after structural relaxation. The functional is PBE.

Structure (POSCAR):
```
Y2ZnC
1.0
1.8643 -6.3989 0.0000
1.8643 6.3989 0.0000
0.0000 0.0000 6.4722
Y Zn C
4 2 2
direct
0.1442 0.8558 0.0003 Y
0.1442 0.8558 0.4997 Y
0.8558 0.1442 0.9997 Y
0.8558 0.1442 0.5003 Y
0.4904 0.5096 0.7500 Zn
0.5096 0.4904 0.2500 Zn
0.3104 0.6896 0.7500 C
0.6896 0.3104 0.2500 C
```

=====

<R> ends up most stable, edging out the next structure by 205 meV/atom.

=====

<P>
This record from Alexandria via LeMat-Bulk describes YZrC3 after structural relaxation. The functional is PBE.

Structure (POSCAR):
```
YZrC3
1.0
4.2721 0.0000 0.0000
0.0000 4.2721 0.0000
0.0000 0.0000 4.2721
Y Zr C
1 1 3
direct
0.0000 0.0000 0.0000 Y
0.5000 0.5000 0.5000 Zr
0.0000 0.0000 0.5000 C
0.0000 0.5000 0.0000 C
0.5000 0.0000 0.0000 C
```

=====

<Q>
This record from Alexandria via LeMat-Bulk describes YZrC3 after structural relaxation. The functional is PBE.

Structure (POSCAR):
```
YZrC3
1.0
4.2745 0.0000 0.0000
0.0000 4.2745 0.0000
0.0000 0.0000 4.2745
Y Zr C
1 1 3
direct
0.0000 0.0000 0.0000 Y
0.5000 0.5000 0.5000 Zr
0.0000 0.5000 0.5000 C
0.5000 0.0000 0.5000 C
0.5000 0.5000 0.0000 C
```

=====

<Q> ends up most stable, edging out the next structure by 938 meV/atom.

=====

<P>
This record from Alexandria via LeMat-Bulk describes YZrC after structural relaxation. The functional is PBE.

Structure (POSCAR):
```
YZrC
1.0
5.8227 -1.7410 0.0000
5.8227 1.7410 0.0000
-1.1083 0.0000 5.9121
Y Zr C
2 2 2
direct
0.1292 0.1292 0.3708 Y
0.8708 0.8708 0.6292 Y
0.3589 0.3589 0.1181 Zr
0.6411 0.6411 0.8819 Zr
0.2436 0.2436 0.7686 C
0.7564 0.7564 0.2314 C
```

=====

<Q>
This record from Alexandria via LeMat-Bulk describes YZrC after structural relaxation. The functional is PBE.

Structure (POSCAR):
```
YZrC
1.0
3.4568 0.0000 0.0000
-1.7284 2.9937 0.0000
0.0000 0.0000 5.8127
Y Zr C
1 1 1
direct
0.0000 0.0000 0.0000 Y
0.3333 0.6667 0.4527 Zr
0.6667 0.3333 0.2623 C
```

=====

<P> ends up most stable, edging out the next structure by 41 meV/atom.

=====

<P>
This record from Alexandria via LeMat-Bulk describes YZr3C after structural relaxation. The functional is PBE.

Structure (POSCAR):
```
YZr3C
1.0
4.7177 0.0000 0.0000
0.0000 4.7177 0.0000
0.0000 0.0000 4.7177
Y Zr C
1 3 1
direct
0.0000 0.0000 0.0000 Y
0.0000 0.5000 0.5000 Zr
0.5000 0.0000 0.5000 Zr
0.5000 0.5000 0.0000 Zr
0.5000 0.5000 0.5000 C
```

=====

<Q>
This record from Alexandria via LeMat-Bulk describes YZr3C after structural relaxation. The functional is PBE.

Structure (POSCAR):
```
YZr3C
1.0
5.1477 0.0000 0.0000
0.0000 5.1477 0.0000
0.0000 0.0000 5.1477
Y Zr C
1 3 1
direct
0.0000 0.0000 0.0000 Y
0.0000 0.0000 0.5000 Zr
0.0000 0.5000 0.0000 Zr
0.5000 0.0000 0.0000 Zr
0.5000 0.5000 0.5000 C
```

=====

<P> ends up most stable, edging out the next structure by 2866 meV/atom.

=====

<P>
This record from Alexandria via LeMat-Bulk describes Y3ZrC after structural relaxation. The functional is PBE.

Structure (POSCAR):
```
Y3ZrC
1.0
5.4318 0.0000 0.0000
0.0000 5.4318 0.0000
0.0000 0.0000 5.4318
Y Zr C
3 1 1
direct
0.0000 0.0000 0.5000 Y
0.0000 0.5000 0.0000 Y
0.5000 0.0000 0.0000 Y
0.0000 0.0000 0.0000 Zr
0.5000 0.5000 0.5000 C
```

=====

<Q>
This record from Alexandria via LeMat-Bulk describes Y3ZrC after structural relaxation. The functional is PBE.

Structure (POSCAR):
```
Y3ZrC
1.0
4.9972 0.0000 0.0000
0.0000 4.9972 0.0000
0.0000 0.0000 4.9972
Y Zr C
3 1 1
direct
0.0000 0.0000 0.5000 Y
0.0000 0.5000 0.0000 Y
0.5000 0.0000 0.0000 Y
0.5000 0.5000 0.5000 Zr
0.0000 0.0000 0.0000 C
```

=====

<Q> ends up most stable, edging out the next structure by 1836 meV/atom.